10
Lattice="5.370 0.000 0.000 0.000 7.225 2.248 -2.685 1.146 8.876" Properties=species:S:1:pos:R:3 comment="Sr5PmGe4, optimized geometry, DFT PBE" magmom_total_mub_per_fu=0.00 space_group=C2/m final_energy_ev_per_atom=-3.5730 e_form_ev_per_atom=-0.410 pbc="T T T"
Ge 2.685 0.888 3.077
Ge 0.000 5.530 1.910
Ge 2.685 2.841 9.215
Ge 0.000 7.483 8.047
Sr 2.685 2.019 6.167
Sr 0.000 2.655 3.460
Sr 2.685 5.716 7.664
Sr 2.685 3.612 1.124
Sr 0.000 6.352 4.957
Pm 2.685 0.000 0.000